# 1
# PBE-GGA TbTm2Pb, relaxed
data_TbTm2Pb
_chemical_formula_sum 'Tb4 Tm8 Pb4'
_symmetry_space_group_name_H-M 'F -4 3 m'
_symmetry_Int_Tables_number 216
_symmetry_space_group_name_Hall 'F -4 2 3'
_cell_length_a 7.700
_cell_length_b 7.700
_cell_length_c 7.700
_cell_angle_alpha 90.00
_cell_angle_beta 90.00
_cell_angle_gamma 90.00
loop_
_atom_site_label
_atom_site_fract_x
_atom_site_fract_y
_atom_site_fract_z
_atom_site_occupancy
Tb1 0.000 0.000 0.000 1
Tm1 0.000 0.000 0.500 1
Tm2 0.250 0.250 0.750 1
Pb1 0.250 0.250 0.250 1
# Spin magnetization = 0.615 μB per formula unit
# E_form = -85 meV per atom
# Density of states at the Fermi level = 1.65 states/eV/atom

---

# 2
# PBE-GGA Ag2TeAu, relaxed
data_Ag2TeAu
_chemical_formula_sum 'Ag6 Te3 Au3'
_symmetry_space_group_name_H-M 'R 3 m'
_symmetry_Int_Tables_number 160
_symmetry_space_group_name_Hall 'R 3 -2"'
_cell_length_a 4.5173
_cell_length_b 4.5173
_cell_length_c 15.9941
_cell_angle_alpha 90.00
_cell_angle_beta 90.00
_cell_angle_gamma 120.00
loop_
_atom_site_label
_atom_site_fract_x
_atom_site_fract_y
_atom_site_fract_z
_atom_site_occupancy
Ag1 0.0000 0.0000 0.0000 1
Ag2 0.0000 0.0000 0.1747 1
Te1 0.0000 0.0000 0.5777 1
Au1 0.0000 0.0000 0.7544 1
# ΔE_f (raw) = 0.14 eV/atom
# Spin magnetization = 0.000 μB per formula unit
# Density of states at the Fermi level = 0.43 states/eV/atom

---

# 3
# PBE-GGA SbTe2MoPd, relaxed
data_SbTe2MoPd
_chemical_formula_sum 'Sb1 Te2 Mo1 Pd1'
_symmetry_space_group_name_H-M 'P 4/m m m'
_symmetry_Int_Tables_number 123
_symmetry_space_group_name_Hall '-P 4 2'
_cell_length_a 5.234
_cell_length_b 5.234
_cell_length_c 5.244
_cell_angle_alpha 90.00
_cell_angle_beta 90.00
_cell_angle_gamma 90.00
loop_
_atom_site_label
_atom_site_fract_x
_atom_site_fract_y
_atom_site_fract_z
_atom_site_occupancy
Sb1 0.000 0.000 0.000 1
Te1 0.000 0.500 0.500 1
Mo1 0.000 0.000 0.500 1
Pd1 0.500 0.500 0.000 1
# ΔE_f (raw) = 0.71 eV/atom
# Spin magnetization = 0.000 μB per formula unit
# Density of states at the Fermi level = 1.09 states/eV/atom